Entry 1:
CoHgRu2 PBE optimized geometry; ΔE_f = 1.92 eV/f.u.
1.0
4.464 -1.404 0.000
4.464 1.404 0.000
-0.863 0.000 4.812
Co Hg Ru
1 1 2
direct
0.000 0.000 0.000
0.244 0.244 0.744
0.484 0.484 0.425
0.739 0.739 0.241

***

Entry 2:
CoHgRuSe2 PBE optimized geometry; uncorrected formation energy = 0.909 eV/atom
1.0
4.776 0.000 0.000
0.000 4.776 0.000
0.000 0.000 5.281
Co Hg Ru Se
1 1 1 2
direct
0.000 0.000 0.000
0.500 0.500 0.000
0.500 0.500 0.500
0.000 0.500 0.500
0.500 0.000 0.500

***

Number 1: total magnetization 1.992 μB per formula unit. Number 2: total magnetization 2.058 μB per formula unit.